## w
Material: V3SnMo
Method: DFT, PBE-GGA
State: relaxed

Its spin magnetization is 0.00 μB/cell. As for the density of states at the Fermi level: 3.61 states/eV per cell. The value obtained for the volume is 96 Å³/f.u. The space-group type is Pm-3m (221).

Unit cell a=4.5827 b=4.5827 c=4.5827 alpha=90.00 beta=90.00 gamma=90.00
Closest atoms and distances in Å follow each position.
Positions (direct):
Mo 0.0000 0.0000 0.0000  6 V 2.29
V 0.0000 0.5000 0.0000  2 Mo 2.29
V 0.5000 0.0000 0.0000  2 Mo 2.29
Sn 0.5000 0.5000 0.5000  12 V 3.24
V 0.0000 0.0000 0.5000  2 Mo 2.29


## x
Material: V3SnMo
Method: DFT, PBE-GGA
State: relaxed

Its spin magnetization is 0.00 μB/cell. As for the density of states at the Fermi level: 11.79 states/eV per cell. The value obtained for the volume is 79 Å³/f.u. The space-group type is Cmcm (63).

Unit cell a=2.7121 b=4.5555 c=12.7961 alpha=90.00 beta=96.08 gamma=90.00
Closest atoms and distances in Å follow each position.
Positions (direct):
Sn 0.0767 0.2500 0.1533  2 Sn 2.71, 12 V 2.92-2.96
V 0.6273 0.7500 0.2546  5 V 2.60-2.71, 2 Mo 2.81
Mo 0.2238 0.7500 0.4476  1 V 2.48, 2 Mo 2.71
Mo 0.7762 0.2500 0.5524  1 V 2.48, 2 Mo 2.71
V 0.3727 0.2500 0.7454  5 V 2.60-2.71, 2 Mo 2.81
V 0.6786 0.2500 0.3573  1 Mo 2.48, 4 V 2.63-2.71
V 0.4750 0.2500 0.9501  5 V 2.60-2.71
V 0.5250 0.7500 0.0499  5 V 2.60-2.71
V 0.3214 0.7500 0.6427  1 Mo 2.48, 4 V 2.63-2.71
Sn 0.9233 0.7500 0.8467  2 Sn 2.71, 12 V 2.92-2.96


The data favor x; the next most stable structure lies 0.760 eV/atom above it.


## w
Material: YSnMo
Method: DFT, PBE-GGA
State: relaxed

Its spin magnetization is 0.00 μB/cell. As for the density of states at the Fermi level: 10.53 states/eV per cell. The value obtained for the volume is 69 Å³/f.u. The space-group type is Immm (71).

Unit cell a=13.0739 b=6.0187 c=3.5113 alpha=90.00 beta=90.00 gamma=90.00
Closest atoms and distances in Å follow each position.
Positions (direct):
Mo 0.5000 0.6981 0.5000  1 Mo 2.38
Sn 0.1178 0.5000 0.5000  4 Mo 2.96, 1 Sn 3.08, 4 Y 3.12-3.17
Y 0.1805 0.0000 0.5000  4 Sn 3.12-3.17, 4 Mo 3.17
Y 0.3195 0.5000 0.0000  4 Sn 3.12-3.17, 4 Mo 3.17
Y 0.8195 0.0000 0.5000  4 Sn 3.12-3.17, 4 Mo 3.17
Sn 0.8822 0.5000 0.5000  4 Mo 2.96, 1 Sn 3.08, 4 Y 3.12-3.17
Y 0.6805 0.5000 0.0000  4 Sn 3.12-3.17, 4 Mo 3.17
Sn 0.3822 0.0000 0.0000  4 Mo 2.96, 1 Sn 3.08, 4 Y 3.12-3.17
Mo 0.5000 0.3019 0.5000  1 Mo 2.38
Mo 0.0000 0.8019 0.0000  1 Mo 2.38
Sn 0.6178 0.0000 0.0000  4 Mo 2.96, 1 Sn 3.08, 4 Y 3.12-3.17
Mo 0.0000 0.1981 0.0000  1 Mo 2.38


## x
Material: YSnMo
Method: DFT, PBE-GGA
State: relaxed

Its spin magnetization is 0.00 μB/cell. As for the density of states at the Fermi level: 4.27 states/eV per cell. The value obtained for the volume is 68 Å³/f.u. The space-group type is Pm (6).

Unit cell a=3.2762 b=4.4236 c=9.4819 alpha=90.00 beta=99.82 gamma=90.00
Closest atoms and distances in Å follow each position.
Positions (direct):
Y 0.8045 0.5000 0.0753  8 Sn 3.20-3.38, 1 Mo 3.23, 3 Y 3.28-3.55
Sn 0.4340 0.0000 0.2614  4 Mo 2.82-3.12
Y 0.6422 0.5000 0.6951  3 Mo 2.83-3.06, 2 Sn 3.16
Mo 0.9938 0.0000 0.5281  2 Mo 2.60, 1 Sn 2.86
Sn 0.2116 0.0000 0.8677  8 Y 3.16-3.38, 1 Mo 3.18, 2 Sn 3.28
Mo 0.1892 0.5000 0.4126  2 Mo 2.60, 2 Sn 2.82, 1 Y 2.83


The data favor w; the next most stable structure lies 0.016 eV/atom above it.


## w
Material: YSnMo
Method: DFT, PBE-GGA
State: relaxed

Its spin magnetization is 0.00 μB/cell. As for the density of states at the Fermi level: 16.60 states/eV per cell. The value obtained for the volume is 71 Å³/f.u. The space-group type is Imm2 (44).

Unit cell a=4.8275 b=6.9185 c=8.4849 alpha=90.00 beta=90.00 gamma=90.00
Closest atoms and distances in Å follow each position.
Positions (direct):
Sn 0.0000 0.7814 0.2964  3 Mo 2.86-2.87, 1 Sn 3.02
Mo 0.0000 0.6601 0.9736  1 Mo 2.21
Sn 0.5000 0.2814 0.7964  3 Mo 2.86-2.87, 1 Sn 3.02
Y 0.5000 0.5000 0.1965  4 Sn 3.21, 6 Mo 3.26-3.33, 2 Y 3.56
Sn 0.5000 0.7186 0.7964  3 Mo 2.86-2.87, 1 Sn 3.02
Mo 0.5000 0.1601 0.4736  1 Mo 2.21
Y 0.0000 0.0000 0.6965  4 Sn 3.21, 6 Mo 3.26-3.33, 2 Y 3.56
Y 0.5000 0.0000 0.0998  6 Sn 3.23-3.30, 6 Mo 3.36-3.54, 2 Y 3.56
Mo 0.5000 0.8399 0.4736  1 Mo 2.21
Sn 0.0000 0.2186 0.2964  3 Mo 2.86-2.87, 1 Sn 3.02
Y 0.0000 0.5000 0.5998  6 Sn 3.23-3.30, 6 Mo 3.36-3.54, 2 Y 3.56
Mo 0.0000 0.3399 0.9736  1 Mo 2.21


## x
Material: YSnMo
Method: DFT, PBE-GGA
State: relaxed

Its spin magnetization is 0.00 μB/cell. As for the density of states at the Fermi level: 9.93 states/eV per cell. The value obtained for the volume is 70 Å³/f.u. The space-group type is Amm2 (38).

Unit cell a=6.0528 b=3.7549 c=12.3139 alpha=90.00 beta=90.00 gamma=90.00
Closest atoms and distances in Å follow each position.
Positions (direct):
Mo 0.2913 0.0000 0.7818  1 Mo 2.53, 2 Sn 2.78
Sn 0.0000 0.0000 0.1738  4 Mo 2.90, 4 Y 3.14-3.23
Mo 0.2913 0.5000 0.2818  1 Mo 2.53, 2 Sn 2.78
Sn 0.0000 0.5000 0.6738  4 Mo 2.90, 4 Y 3.14-3.23
Y 0.5000 0.0000 0.1063  4 Sn 3.03-3.14, 4 Mo 3.13
Y 0.0000 0.0000 0.4607  4 Sn 3.08-3.23, 4 Mo 3.39
Mo 0.7087 0.0000 0.7818  1 Mo 2.53, 2 Sn 2.78
Y 0.0000 0.5000 0.9607  4 Sn 3.08-3.23, 4 Mo 3.39
Y 0.5000 0.5000 0.6063  4 Sn 3.03-3.14, 4 Mo 3.13
Sn 0.5000 0.0000 0.4130  4 Mo 2.78, 4 Y 3.03-3.08
Mo 0.7087 0.5000 0.2818  1 Mo 2.53, 2 Sn 2.78
Sn 0.5000 0.5000 0.9130  4 Mo 2.78, 4 Y 3.03-3.08


The data favor x; the next most stable structure lies 0.027 eV/atom above it.


## w
Material: YSn2Mo2
Method: DFT, PBE-GGA
State: relaxed

Its spin magnetization is 0.00 μB/cell. As for the density of states at the Fermi level: 4.43 states/eV per cell. The value obtained for the volume is 109 Å³/f.u. The space-group type is I4/mmm (139).

Unit cell a=4.0936 b=4.0936 c=7.1461 alpha=73.36 beta=73.36 gamma=90.00
Closest atoms and distances in Å follow each position.
Positions (direct):
Y 0.0000 0.0000 0.0000  8 Sn 3.22
Mo 0.7500 0.2500 0.5000  4 Sn 2.76, 4 Mo 2.89
Mo 0.2500 0.7500 0.5000  4 Sn 2.76, 4 Mo 2.89
Sn 0.6085 0.6085 0.7830  4 Mo 2.76, 1 Sn 2.84
Sn 0.3915 0.3915 0.2170  4 Mo 2.76, 1 Sn 2.84


## x
Material: YSn2Mo2
Method: DFT, PBE-GGA
State: relaxed

Its spin magnetization is 0.00 μB/cell. As for the density of states at the Fermi level: 3.61 states/eV per cell. The value obtained for the volume is 116 Å³/f.u. The space-group type is I4/mmm (139).

Unit cell a=4.9859 b=4.9859 c=5.8399 alpha=64.73 beta=64.73 gamma=90.00
Closest atoms and distances in Å follow each position.
Positions (direct):
Y 0.0000 0.0000 0.0000  8 Sn 3.41, 10 Mo 3.56-3.69
Sn 0.2500 0.7500 0.5000  4 Mo 2.78
Mo 0.6172 0.6172 0.7656  1 Mo 2.18
Sn 0.7500 0.2500 0.5000  4 Mo 2.78
Mo 0.3828 0.3828 0.2344  1 Mo 2.18


The data favor w; the next most stable structure lies 0.032 eV/atom above it.


## w
Material: ZnSnMo3
Method: DFT, PBE-GGA
State: relaxed

Its spin magnetization is 0.00 μB/cell. As for the density of states at the Fermi level: 5.27 states/eV per cell. The value obtained for the volume is 97 Å³/f.u. The space-group type is Pm-3m (221).

Unit cell a=4.5950 b=4.5950 c=4.5950 alpha=90.00 beta=90.00 gamma=90.00
Closest atoms and distances in Å follow each position.
Positions (direct):
Zn 0.0000 0.0000 0.0000  6 Mo 2.30
Mo 0.0000 0.0000 0.5000  2 Zn 2.30
Mo 0.0000 0.5000 0.0000  2 Zn 2.30
Sn 0.5000 0.5000 0.5000  12 Mo 3.25
Mo 0.5000 0.0000 0.0000  2 Zn 2.30


## x
Material: ZnSnMo3
Method: DFT, PBE-GGA
State: relaxed

Its spin magnetization is 0.00 μB/cell. As for the density of states at the Fermi level: 8.06 states/eV per cell. The value obtained for the volume is 118 Å³/f.u. The space-group type is Pm-3m (221).

Unit cell a=4.9026 b=4.9026 c=4.9026 alpha=90.00 beta=90.00 gamma=90.00
Closest atoms and distances in Å follow each position.
Positions (direct):
Mo 0.0000 0.0000 0.5000  2 Sn 2.45
Mo 0.5000 0.0000 0.0000  2 Sn 2.45
Mo 0.0000 0.5000 0.0000  2 Sn 2.45
Sn 0.0000 0.0000 0.0000  6 Mo 2.45
Zn 0.5000 0.5000 0.5000  12 Mo 3.47


The data favor w; the next most stable structure lies 0.807 eV/atom above it.


## w
Material: ZnSn3Mo
Method: DFT, PBE-GGA
State: relaxed

Its spin magnetization is 3.90 μB/cell. As for the density of states at the Fermi level: 2.67 states/eV per cell. The value obtained for the volume is 137 Å³/f.u. The space-group type is Pm-3m (221).

Unit cell a=5.1501 b=5.1501 c=5.1501 alpha=90.00 beta=90.00 gamma=90.00
Closest atoms and distances in Å follow each position.
Positions (direct):
Sn 0.5000 0.0000 0.0000  2 Zn 2.58
Mo 0.5000 0.5000 0.5000  12 Sn 3.64
Sn 0.0000 0.0000 0.5000  2 Zn 2.58
Sn 0.0000 0.5000 0.0000  2 Zn 2.58
Zn 0.0000 0.0000 0.0000  6 Sn 2.58


## x
Material: ZnSn3Mo
Method: DFT, PBE-GGA
State: relaxed

Its spin magnetization is 0.00 μB/cell. As for the density of states at the Fermi level: 0.02 states/eV per cell. The value obtained for the volume is 146 Å³/f.u. The space-group type is Pm-3m (221).

Unit cell a=5.2671 b=5.2671 c=5.2671 alpha=90.00 beta=90.00 gamma=90.00
Closest atoms and distances in Å follow each position.
Positions (direct):
Zn 0.5000 0.5000 0.5000  12 Sn 3.72
Sn 0.0000 0.0000 0.5000  2 Mo 2.63
Sn 0.0000 0.5000 0.0000  2 Mo 2.63
Sn 0.5000 0.0000 0.0000  2 Mo 2.63
Mo 0.0000 0.0000 0.0000  6 Sn 2.63


The data favor x; the next most stable structure lies 0.709 eV/atom above it.